#one
## HgIO4 (GGA-PBE)

Data for a relaxed HgIO4 crystal.

abc: 6.612 5.254 5.750
angles: 90.00 112.87 90.00
Sites, in units of the cell vectors:
Hg: 0.000 0.000 0.000
Hg: 0.000 0.500 0.500
I: 0.500 0.000 0.500
I: 0.500 0.500 0.000
O: 0.196 0.130 0.365
O: 0.196 0.370 0.865
O: 0.402 0.744 0.704
O: 0.402 0.756 0.204
O: 0.598 0.244 0.796
O: 0.598 0.256 0.296
O: 0.804 0.630 0.135
O: 0.804 0.870 0.635

Output
SG: P2_1/c
N(E_F): 1.3 states/eV/f.u.
Crystal system: monoclinic

#two
## HgIO4 (GGA-PBE)

Data for a relaxed HgIO4 crystal.

abc: 7.989 5.585 8.033
angles: 90.00 103.51 90.00
Sites, in units of the cell vectors:
Hg: 0.153 0.239 0.385
Hg: 0.153 0.261 0.885
Hg: 0.847 0.739 0.115
Hg: 0.847 0.761 0.615
I: 0.323 0.730 0.184
I: 0.323 0.770 0.684
I: 0.677 0.230 0.316
I: 0.677 0.270 0.816
O: 0.118 0.544 0.189
O: 0.118 0.956 0.689
O: 0.182 0.001 0.119
O: 0.182 0.499 0.619
O: 0.313 0.615 0.958
O: 0.313 0.885 0.458
O: 0.460 0.082 0.796
O: 0.460 0.418 0.296
O: 0.540 0.582 0.704
O: 0.540 0.918 0.204
O: 0.687 0.115 0.542
O: 0.687 0.385 0.042
O: 0.818 0.501 0.381
O: 0.818 0.999 0.881
O: 0.882 0.044 0.311
O: 0.882 0.456 0.811

Output
SG: P2_1/c
N(E_F): 1.2 states/eV/f.u.
Crystal system: monoclinic

Which structure is the most stable? The one labeled #two.

#one
## Hg3IO (GGA-PBE)

Data for a relaxed Hg3IO crystal.

abc: 8.428 8.428 12.058
angles: 117.68 117.68 45.47
Sites, in units of the cell vectors:
Hg: 0.005 0.005 0.301
Hg: 0.118 0.118 0.581
Hg: 0.125 0.125 0.046
Hg: 0.875 0.875 0.954
Hg: 0.882 0.882 0.419
Hg: 0.995 0.995 0.699
I: 0.309 0.309 0.242
I: 0.691 0.691 0.758
O: 0.008 0.008 0.126
O: 0.992 0.992 0.874

Output
SG: C2/m
Crystal system: monoclinic

#two
## Hg3IO (GGA-PBE)

Data for a relaxed Hg3IO crystal.

abc: 6.402 6.402 6.402
angles: 90.00 90.00 90.00
Sites, in units of the cell vectors:
Hg: 0.000 0.000 0.500
Hg: 0.000 0.500 0.000
Hg: 0.500 0.000 0.000
I: 0.000 0.000 0.000
O: 0.500 0.500 0.500

Output
SG: Pm-3m
N(E_F): 19.0 states/eV/f.u.
Crystal system: cubic

#three
## Hg3IO (GGA-PBE)

Data for a relaxed Hg3IO crystal.

abc: 5.026 5.026 5.026
angles: 90.00 90.00 90.00
Sites, in units of the cell vectors:
Hg: 0.000 0.000 0.500
Hg: 0.000 0.500 0.000
Hg: 0.500 0.000 0.000
I: 0.500 0.500 0.500
O: 0.000 0.000 0.000

Output
SG: Pm-3m
N(E_F): 2.2 states/eV/f.u.
Crystal system: cubic

Which structure is the most stable? The one labeled #one.

#one
## Hg3I2O2 (GGA-PBE)

Data for a relaxed Hg3I2O2 crystal.

abc: 6.577 6.577 8.687
angles: 98.80 98.80 41.19
Sites, in units of the cell vectors:
Hg: 0.000 0.000 0.000
Hg: 0.260 0.260 0.841
Hg: 0.740 0.740 0.159
I: 0.398 0.398 0.639
I: 0.602 0.602 0.361
O: 0.167 0.167 0.023
O: 0.833 0.833 0.977

Output
SG: C2/m
Crystal system: monoclinic

#two
## Hg3I2O2 (GGA-PBE)

Data for a relaxed Hg3I2O2 crystal.

abc: 6.977 7.677 7.401
angles: 90.00 99.97 90.00
Sites, in units of the cell vectors:
Hg: 0.000 0.000 0.000
Hg: 0.000 0.500 0.500
Hg: 0.346 0.235 0.347
Hg: 0.346 0.265 0.847
Hg: 0.654 0.735 0.153
Hg: 0.654 0.765 0.653
I: 0.256 0.597 0.110
I: 0.256 0.903 0.610
I: 0.744 0.097 0.390
I: 0.744 0.403 0.890
O: 0.273 0.109 0.073
O: 0.273 0.391 0.573
O: 0.727 0.609 0.427
O: 0.727 0.891 0.927

Output
SG: P2_1/c
Crystal system: monoclinic

Which structure is the most stable? The one labeled #one.

#one
## HgIO2 (GGA-PBE)

Data for a relaxed HgIO2 crystal.

abc: 6.865 6.865 6.865
angles: 30.18 30.18 30.18
Sites, in units of the cell vectors:
Hg: 0.000 0.000 0.000
I: 0.500 0.500 0.500
O: 0.394 0.394 0.394
O: 0.606 0.606 0.606

Output
SG: R-3m
N(E_F): 1.7 states/eV/f.u.
Crystal system: trigonal

#two
## HgIO2 (GGA-PBE)

Data for a relaxed HgIO2 crystal.

abc: 4.450 4.450 4.450
angles: 60.00 60.00 60.00
Sites, in units of the cell vectors:
Hg: 0.000 0.000 0.000
I: 0.500 0.500 0.500
O: 0.250 0.250 0.250
O: 0.750 0.750 0.750

Output
SG: Fm-3m
N(E_F): 4.9 states/eV/f.u.
Crystal system: cubic

#three
## HgIO2 (GGA-PBE)

Data for a relaxed HgIO2 crystal.

abc: 5.057 5.057 3.550
angles: 95.27 95.27 91.51
Sites, in units of the cell vectors:
Hg: 0.000 0.000 0.000
I: 0.500 0.500 0.500
O: 0.204 0.204 0.482
O: 0.796 0.796 0.518

Output
SG: C2/m
N(E_F): 3.5 states/eV/f.u.
Crystal system: monoclinic

Which structure is the most stable? The one labeled #one.

#one
## Hg3IO6 (GGA-PBE)

Data for a relaxed Hg3IO6 crystal.

abc: 6.831 6.831 6.831
angles: 88.87 88.87 88.87
Sites, in units of the cell vectors:
Hg: 0.036 0.751 0.562
Hg: 0.249 0.438 0.964
Hg: 0.438 0.964 0.249
Hg: 0.562 0.036 0.751
Hg: 0.751 0.562 0.036
Hg: 0.964 0.249 0.438
I: 0.000 0.000 0.000
I: 0.500 0.500 0.500
O: 0.041 0.707 0.920
O: 0.080 0.959 0.293
O: 0.221 0.465 0.540
O: 0.293 0.080 0.959
O: 0.460 0.779 0.535
O: 0.465 0.540 0.221
O: 0.535 0.460 0.779
O: 0.540 0.221 0.465
O: 0.707 0.920 0.041
O: 0.779 0.535 0.460
O: 0.920 0.041 0.707
O: 0.959 0.293 0.080

Output
SG: R-3
Crystal system: trigonal

#two
## Hg3IO6 (GGA-PBE)

Data for a relaxed Hg3IO6 crystal.

abc: 5.793 5.989 8.830
angles: 89.47 88.93 79.70
Sites, in units of the cell vectors:
Hg: 0.000 0.000 0.000
Hg: 0.003 0.454 0.753
Hg: 0.477 0.052 0.254
Hg: 0.500 0.500 0.500
Hg: 0.523 0.948 0.746
Hg: 0.997 0.546 0.247
I: 0.000 0.000 0.500
I: 0.500 0.500 0.000
O: 0.137 0.088 0.717
O: 0.148 0.246 0.387
O: 0.256 0.334 0.059
O: 0.314 0.783 0.087
O: 0.318 0.811 0.441
O: 0.364 0.572 0.808
O: 0.636 0.428 0.192
O: 0.682 0.189 0.559
O: 0.686 0.217 0.913
O: 0.744 0.666 0.941
O: 0.852 0.754 0.613
O: 0.863 0.912 0.283

Output
SG: P-1
N(E_F): 0.3 states/eV/f.u.
Crystal system: triclinic

Which structure is the most stable? The one labeled #one.

#one
## HgOsI2O (GGA-PBE)

Data for a relaxed HgOsI2O crystal.

abc: 5.939 5.939 4.001
angles: 90.00 90.00 90.00
Sites, in units of the cell vectors:
Hg: 0.000 0.000 0.000
Os: 0.500 0.500 0.500
I: 0.000 0.500 0.000
I: 0.500 0.000 0.000
O: 0.000 0.000 0.500

Output
SG: P4/mmm
N(E_F): 5.2 states/eV/f.u.
Crystal system: tetragonal

#two
## HgOsI2O (GGA-PBE)

Data for a relaxed HgOsI2O crystal.

abc: 5.691 5.691 3.770
angles: 90.00 90.00 90.00
Sites, in units of the cell vectors:
Hg: 0.000 0.000 0.000
Os: 0.500 0.500 0.500
I: 0.000 0.500 0.500
I: 0.500 0.000 0.500
O: 0.500 0.500 0.000

Output
SG: P4/mmm
N(E_F): 4.2 states/eV/f.u.
Crystal system: tetragonal

Which structure is the most stable? The one labeled #two.

#one
## HgPIO2 (GGA-PBE)

Data for a relaxed HgPIO2 crystal.

abc: 3.895 3.895 6.045
angles: 90.00 90.00 90.00
Sites, in units of the cell vectors:
Hg: 0.000 0.000 0.000
P: 0.500 0.500 0.500
I: 0.500 0.500 0.000
O: 0.000 0.500 0.500
O: 0.500 0.000 0.500

Output
SG: P4/mmm
N(E_F): 2.3 states/eV/f.u.
Crystal system: tetragonal

#two
## HgPIO2 (GGA-PBE)

Data for a relaxed HgPIO2 crystal.

abc: 4.198 4.198 5.520
angles: 90.00 90.00 90.00
Sites, in units of the cell vectors:
Hg: 0.000 0.000 0.000
P: 0.000 0.000 0.500
I: 0.500 0.500 0.500
O: 0.000 0.500 0.000
O: 0.500 0.000 0.000

Output
SG: P4/mmm
N(E_F): 6.2 states/eV/f.u.
Crystal system: tetragonal

#three
## HgPIO2 (GGA-PBE)

Data for a relaxed HgPIO2 crystal.

abc: 4.012 4.012 5.634
angles: 90.00 90.00 90.00
Sites, in units of the cell vectors:
Hg: 0.000 0.000 0.000
P: 0.500 0.500 0.000
I: 0.500 0.500 0.500
O: 0.000 0.500 0.500
O: 0.500 0.000 0.500

Output
SG: P4/mmm
N(E_F): 1.5 states/eV/f.u.
Crystal system: tetragonal

Which structure is the most stable? The one labeled #one.

#one
## HgPbI2O (GGA-PBE)

Data for a relaxed HgPbI2O crystal.

abc: 6.006 6.006 4.224
angles: 90.00 90.00 90.00
Sites, in units of the cell vectors:
Hg: 0.000 0.000 0.000
Pb: 0.500 0.500 0.500
I: 0.000 0.500 0.000
I: 0.500 0.000 0.000
O: 0.000 0.000 0.500

Output
SG: P4/mmm
N(E_F): 4.8 states/eV/f.u.
Crystal system: tetragonal

#two
## HgPbI2O (GGA-PBE)

Data for a relaxed HgPbI2O crystal.

abc: 6.244 6.244 4.229
angles: 90.00 90.00 90.00
Sites, in units of the cell vectors:
Hg: 0.000 0.000 0.000
Pb: 0.500 0.500 0.500
I: 0.000 0.500 0.500
I: 0.500 0.000 0.500
O: 0.500 0.500 0.000

Output
SG: P4/mmm
N(E_F): 3.1 states/eV/f.u.
Crystal system: tetragonal

Which structure is the most stable? The one labeled #two.